Compound: ScTi3P3
Source: Alexandria via LeMat-Bulk
Functional: PBE
Structure: optimized geometry

Calculated values
**Formation energy**: -21.7 kcal/mol of atoms

Unit cell a=7.411 b=7.411 c=7.411 alpha=55.79 beta=55.79 gamma=55.79
Fractional coordinates of all 14 atoms:
Sc  0.166  0.166  0.166
Sc  0.834  0.834  0.834
Ti  0.111  0.374  0.662
Ti  0.338  0.889  0.626
Ti  0.374  0.662  0.111
Ti  0.626  0.338  0.889
Ti  0.662  0.111  0.374
Ti  0.889  0.626  0.338
P  0.034  0.793  0.424
P  0.207  0.576  0.966
P  0.424  0.034  0.793
P  0.576  0.966  0.207
P  0.793  0.424  0.034
P  0.966  0.207  0.576

***

Compound: MgSbTeI2
Source: Alexandria via LeMat-Bulk
Functional: PBE
Structure: optimized geometry

Calculated values
**Formation energy (no corrections)**: 0.08 eV per formula unit
**Excess energy over the best structure of this formula in the dataset**: 0.000 eV per atom

Unit cell a=5.446 b=5.446 c=5.822 alpha=90.00 beta=90.00 gamma=90.00
Fractional coordinates of all 5 atoms:
Mg  0.000  0.000  0.000
Sb  0.500  0.500  0.500
Te  0.000  0.000  0.500
I  0.000  0.500  0.000
I  0.500  0.000  0.000

***

Compound: PrTm2Sc
Source: Alexandria via LeMat-Bulk
Functional: PBE
Structure: optimized geometry

Calculated values
**Formation energy**: 1.2 kcal/mol of atoms
**Excess energy over the best structure of this formula in the dataset**: 0.023 eV per atom

Unit cell a=3.516 b=3.516 c=33.745 alpha=90.00 beta=90.00 gamma=120.00
Fractional coordinates of all 12 atoms:
Pr  0.000  0.000  0.000
Pr  0.333  0.667  0.667
Pr  0.667  0.333  0.333
Tm  0.000  0.000  0.246
Tm  0.000  0.000  0.422
Tm  0.333  0.667  0.089
Tm  0.333  0.667  0.913
Tm  0.667  0.333  0.579
Tm  0.667  0.333  0.756
Sc  0.000  0.000  0.835
Sc  0.333  0.667  0.501
Sc  0.667  0.333  0.168